Here is a geometry-optimized Ac7In2Pt2 structure from Alexandria via LeMat-Bulk. Energies are from PBE.

Lattice parameters (Å, degrees): 10.4738 10.4738 10.4738 156.26 66.17 119.25
With the nearest neighbours (Å) after each atom.
Element x y z (fractional)
1 Ac 0.0000 0.0000 0.0000  2 Pt 3.13
2 Ac 0.0736 0.3976 0.6760  1 Pt 3.31, 3 In 3.34
3 Ac 0.1725 0.7884 0.3841  2 Pt 3.07
4 Ac 0.4042 0.7884 0.6159  2 Pt 3.07
5 Ac 0.5176 0.6199 0.8978  3 Pt 3.26-3.31, 2 In 3.51, 1 Ac 3.59
6 Ac 0.7215 0.3976 0.3240  1 Pt 3.31, 3 In 3.34
7 Ac 0.7221 0.6199 0.1022  3 Pt 3.26-3.31, 2 In 3.51, 1 Ac 3.59
8 In 0.3542 0.1146 0.2396  7 Ac 3.34-3.57
9 In 0.8750 0.1146 0.7604  7 Ac 3.34-3.57
10 Pt 0.3626 0.3626 0.0000  6 Ac 3.07-3.26
11 Pt 0.7853 0.2853 0.5000  8 Ac 3.13-3.31

Results
ΔE to the lowest computed polymorph (meV per atom): 0
Magnetic moment (Bohr magnetons per cell): 0.0
Formation energy (eV/atom): -0.538
SG: Imm2
E_tot (eV per atom): -4.75


Here is a geometry-optimized Ac3In2Pt4 structure from Alexandria via LeMat-Bulk. Energies are from PBE.

Lattice parameters (Å, degrees): 6.6762 6.6762 9.4036 114.70 114.70 38.33
With the nearest neighbours (Å) after each atom.
Element x y z (fractional)
1 Ac 0.0000 0.0000 0.0000  4 Pt 3.19
2 Ac 0.3690 0.3690 0.2933  7 Pt 3.11-3.29
3 Ac 0.6310 0.6310 0.7067  7 Pt 3.11-3.29
4 In 0.3276 0.3276 0.6539  4 Pt 2.75-2.95
5 In 0.6724 0.6724 0.3461  4 Pt 2.75-2.95
6 Pt 0.0762 0.0762 0.4223  3 In 2.75-2.95, 1 Pt 2.88
7 Pt 0.2991 0.2991 0.9325  1 In 2.80, 2 Pt 3.06, 1 Ac 3.11
8 Pt 0.7009 0.7009 0.0675  1 In 2.80, 2 Pt 3.06, 1 Ac 3.11
9 Pt 0.9238 0.9238 0.5777  3 In 2.75-2.95, 1 Pt 2.88

Results
Magnetic moment (Bohr magnetons per cell): 0.0
Formation energy (eV/atom): -0.960
SG: C2/m
E_tot (eV per atom): -5.62